#P
Entry from Alexandria via LeMat-Bulk: a geometry-optimized LiFeSnO4 structure (PBE+U).

Output
Total magnetization   20.00 μB per cell

Cell: 6.1206 6.1206 8.6033 Å, 90.00 90.00 90.00°
Closest atoms and distances in Å follow each position.
Space group P4_322 (No. 95)
Unique sites:
Li  0.0000  0.2315  0.0000 [4 per cell]  6 O 2.07-2.22
Fe  0.2358  0.5000  0.2500 [4 per cell]  6 O 1.98-2.10
Sn  0.2536  0.2536  0.6250 [4 per cell]  4 O 1.97-2.01
O  0.0174  0.2609  0.2510 [8 per cell]  1 Sn 1.97, 1 Fe 1.98, 2 Li 2.07-2.17
O  0.2623  0.4821  0.0132 [8 per cell]  1 Sn 2.01, 2 Fe 2.05-2.10, 1 Li 2.22



#Q
Entry from Alexandria via LeMat-Bulk: a geometry-optimized LiFeSnO4 structure (PBE+U).

Output
Total magnetization   10.00 μB per cell

Cell: 3.1224 5.2928 9.7376 Å, 90.00 90.00 90.00°
Closest atoms and distances in Å follow each position.
Space group Pmc2_1 (No. 26)
Unique sites:
Li  0.0000  0.2104  0.0000 [2 per cell]  3 O 1.88-2.05
Fe  0.0000  0.2240  0.3870 [2 per cell]  6 O 1.99-2.18
Sn  0.5000  0.2892  0.6747 [2 per cell]  6 O 2.08-2.11
O  0.0000  0.1131  0.7820 [2 per cell]  1 Fe 2.06, 2 Sn 2.10, 1 Li 2.18
O  0.0000  0.4515  0.5600 [2 per cell]  1 Li 1.88, 1 Fe 2.07, 2 Sn 2.10
O  0.5000  0.0397  0.5062 [2 per cell]  2 Li 2.05, 1 Sn 2.11, 2 Fe 2.18
O  0.5000  0.3955  0.3015 [2 per cell]  2 Fe 1.99, 1 Sn 2.08



Energies relative to the most stable structure, in meV per atom: #P 61; #Q 0.



#P
Entry from Alexandria via LeMat-Bulk: a geometry-optimized Li4FeTeW2O12 structure (PBE+U).

Output
Total magnetization   5.00 μB per cell

Cell: 5.1903 5.4854 7.5623 Å, 85.70 89.89 89.93°
Closest atoms and distances in Å follow each position.
Space group P1 (No. 1)
Unique sites:
Li  0.0000  0.0000  0.0000 [1 per cell]  3 O 1.97-2.06
Li  0.0085  0.0041  0.5353 [1 per cell]  6 O 2.03-2.27
Li  0.4990  0.3506  0.9374 [1 per cell]  3 O 1.97-2.04
Li  0.5106  0.4652  0.5317 [1 per cell]  3 O 1.99-2.07
Fe  0.0032  0.4228  0.7312 [1 per cell]  6 O 1.98-2.11
Te  0.5082  0.9129  0.2367 [1 per cell]  6 O 1.99-2.10
W  0.0108  0.4180  0.2308 [1 per cell]  6 O 1.90-2.05
W  0.4999  0.9063  0.7340 [1 per cell]  6 O 1.93-2.03
O  0.1223  0.3901  0.9887 [1 per cell]  1 W 1.94, 1 Li 2.01, 1 Fe 2.04
O  0.1821  0.0901  0.2930 [1 per cell]  1 Te 2.01, 1 W 2.03, 1 Li 2.06
O  0.2045  0.7229  0.6642 [1 per cell]  1 W 1.93, 1 Fe 1.98, 1 Li 2.03
O  0.3112  0.2059  0.6710 [1 per cell]  1 W 1.94, 1 Li 1.99, 1 Fe 2.06
O  0.3244  0.5779  0.2972 [1 per cell]  1 W 1.94, 1 Li 2.07, 1 Te 2.09
O  0.3738  0.9145  0.9779 [1 per cell]  1 W 1.96, 1 Li 2.01, 1 Te 2.08
O  0.6402  0.9007  0.4843 [1 per cell]  1 Te 1.99, 1 W 2.03, 1 Li 2.04
O  0.6783  0.5988  0.7815 [1 per cell]  1 W 1.93, 1 Li 1.97, 1 Fe 1.99
O  0.7014  0.2199  0.1553 [1 per cell]  1 Te 2.02, 1 Li 2.04, 1 W 2.05
O  0.8002  0.0953  0.7838 [1 per cell]  1 W 1.93, 1 Li 1.97, 1 Fe 2.10
O  0.8387  0.7224  0.1630 [1 per cell]  1 W 1.93, 1 Li 2.06, 1 Te 2.10
O  0.8834  0.3962  0.4671 [1 per cell]  1 W 1.90, 1 Li 2.04, 1 Fe 2.11



#Q
Entry from Alexandria via LeMat-Bulk: a geometry-optimized Li4FeTeW2O12 structure (PBE+U).

Output
Total magnetization   0.00 μB per cell

Cell: 5.4907 9.1748 9.1915 Å, 69.03 86.35 86.43°
Closest atoms and distances in Å follow each position.
Space group P1 (No. 1)
Unique sites:
Li  0.0000  0.0000  0.0000 [1 per cell]  5 O 2.05-2.26
Li  0.0015  0.2170  0.2311 [1 per cell]  4 O 1.99-2.13
Li  0.0047  0.7394  0.7288 [1 per cell]  4 O 1.97-2.20
Li  0.0121  0.4865  0.5035 [1 per cell]  5 O 2.04-2.23
Li  0.3509  0.9457  0.4533 [1 per cell]  3 O 1.98-2.05
Li  0.3628  0.4533  0.9450 [1 per cell]  3 O 1.97-2.04
Li  0.4585  0.7391  0.2557 [1 per cell]  4 O 2.01-2.21
Li  0.4755  0.2430  0.7482 [1 per cell]  3 O 1.98-2.05
Fe  0.4252  0.0967  0.0951 [1 per cell]  6 O 1.99-2.11
Fe  0.4255  0.5925  0.5983 [1 per cell]  6 O 1.98-2.13
Te  0.9091  0.0940  0.6023 [1 per cell]  6 O 1.92-2.00
Te  0.9330  0.5963  0.1042 [1 per cell]  4 O 2.00-2.22
W  0.4194  0.8446  0.8543 [1 per cell]  5 O 1.84-2.02
W  0.4282  0.3340  0.3492 [1 per cell]  5 O 1.83-2.03
W  0.9089  0.8445  0.3498 [1 per cell]  6 O 1.92-2.02
W  0.9119  0.3530  0.8433 [1 per cell]  5 O 1.88-1.95
O  0.0885  0.7916  0.9646 [1 per cell]  1 Te 2.00, 1 W 2.02, 1 Li 2.08
O  0.0907  0.2750  0.4781 [1 per cell]  1 Te 1.94, 1 Li 2.05, 1 W 2.12
O  0.0965  0.2213  0.0174 [1 per cell]  1 W 1.93, 1 Li 1.99, 1 Fe 2.10
O  0.1010  0.7256  0.5241 [1 per cell]  1 W 1.92, 1 Li 1.97, 1 Fe 2.10
O  0.1999  0.9583  0.6584 [1 per cell]  1 Te 1.94, 1 Li 2.05, 1 W 2.14
O  0.2038  0.9143  0.2229 [1 per cell]  1 W 1.94, 1 Li 2.01, 1 Fe 2.08
O  0.2132  0.4080  0.7172 [1 per cell]  1 W 1.94, 1 Li 1.98, 1 Fe 2.04
O  0.2410  0.4583  0.1577 [1 per cell]  1 Te 2.02, 1 W 2.03, 1 Li 2.04
O  0.3745  0.1584  0.2878 [1 per cell]  1 W 1.93, 2 Li 2.01-2.13, 1 Fe 2.04
O  0.3951  0.0307  0.8997 [1 per cell]  1 W 1.89, 1 Li 2.00, 1 Fe 2.11
O  0.3979  0.5130  0.4087 [1 per cell]  1 W 1.90, 1 Li 2.08
O  0.4013  0.6703  0.7831 [1 per cell]  1 W 1.94, 1 Li 2.03, 1 Fe 2.06
O  0.5624  0.7325  0.0392 [1 per cell]  1 W 1.84, 1 Li 2.06
O  0.5893  0.2055  0.5469 [1 per cell]  1 Te 1.98, 1 W 2.00, 1 Li 2.05
O  0.5994  0.7784  0.4585 [1 per cell]  1 W 1.93, 1 Li 1.98, 1 Fe 1.99
O  0.6059  0.2825  0.9587 [1 per cell]  1 W 1.95, 1 Li 1.97, 1 Fe 2.00
O  0.7197  0.9050  0.7201 [1 per cell]  1 W 1.98, 1 Te 2.00, 1 Li 2.10
O  0.7247  0.4575  0.6610 [1 per cell]  1 W 1.93, 1 Fe 1.98, 1 Li 2.04
O  0.7265  0.3669  0.2456 [1 per cell]  1 W 1.83, 1 Li 2.01
O  0.7255  0.9640  0.1689 [1 per cell]  1 W 1.94, 1 Fe 1.99, 1 Li 2.05
O  0.8971  0.1499  0.7852 [1 per cell]  1 Te 1.92, 1 Li 2.05, 1 W 2.12
O  0.9045  0.0314  0.4178 [1 per cell]  1 Te 1.98, 1 Li 2.01, 1 W 2.02
O  0.9187  0.6538  0.2976 [1 per cell]  1 W 1.97, 1 Te 2.02, 1 Li 2.04
O  0.9276  0.5344  0.8921 [1 per cell]  1 W 1.88, 1 Li 1.99



Energies relative to the most stable structure, in meV per atom: #P 16; #Q 0.



#P
Entry from Alexandria via LeMat-Bulk: a geometry-optimized Li2TiFe3O8 structure (PBE+U).

Output
Total magnetization   20.00 μB per cell

Cell: 5.9116 5.9226 10.1949 Å, 105.53 90.79 119.58°
Closest atoms and distances in Å follow each position.
Space group P-1 (No. 2)
Unique sites:
Li  0.0600  0.1293  0.1879 [2 per cell]  4 O 1.93-2.02
Li  0.4286  0.8633  0.3116 [2 per cell]  4 O 1.98-2.10
Ti  0.2638  0.5071  0.7588 [2 per cell]  6 O 1.90-2.08
Fe  0.0000  0.0000  0.5000 [1 per cell]  6 O 2.03-2.05
Fe  0.0000  0.5000  0.0000 [1 per cell]  6 O 2.00-2.08
Fe  0.0000  0.5000  0.5000 [1 per cell]  6 O 1.90-1.96
Fe  0.5000  0.0000  0.0000 [1 per cell]  6 O 2.01-2.06
Fe  0.5000  0.5000  0.0000 [1 per cell]  6 O 1.96-2.01
Fe  0.5000  0.5000  0.5000 [1 per cell]  6 O 1.90-1.96
O  0.0877  0.7247  0.3838 [2 per cell]  2 Fe 1.90-2.04, 1 Li 2.00, 1 Ti 2.08
O  0.1383  0.2788  0.3962 [2 per cell]  3 Fe 1.96-2.03, 1 Li 2.02
O  0.1454  0.7319  0.8696 [2 per cell]  1 Ti 1.92, 1 Li 1.93, 2 Fe 2.05-2.06
O  0.1472  0.2804  0.8744 [2 per cell]  1 Ti 1.90, 1 Li 2.00, 2 Fe 2.01-2.08
O  0.3556  0.7072  0.6106 [2 per cell]  2 Fe 1.96, 1 Ti 2.08, 1 Li 2.10
O  0.3694  0.2756  0.6164 [2 per cell]  2 Fe 1.90-2.05, 1 Li 1.98, 1 Ti 2.05
O  0.3695  0.7289  0.1051 [2 per cell]  3 Fe 1.96-2.01, 1 Li 2.00
O  0.4004  0.2651  0.1226 [2 per cell]  1 Ti 1.91, 1 Li 1.97, 2 Fe 2.00-2.06



#Q
Entry from Alexandria via LeMat-Bulk: a geometry-optimized Li2TiFe3O8 structure (PBE+U).

Output
Total magnetization   4.00 μB per cell

Cell: 5.8274 5.8297 5.8359 Å, 90.38 119.77 119.73°
Closest atoms and distances in Å follow each position.
Space group P-1 (No. 2)
Unique sites:
Li  0.2418  0.3714  0.1142 [2 per cell]  4 O 1.93-2.00
Ti  0.0000  0.5000  0.5000 [1 per cell]  6 O 1.96-1.99
Fe  0.0000  0.0000  0.5000 [1 per cell]  6 O 1.96-1.98
Fe  0.5000  0.0000  0.0000 [1 per cell]  6 O 1.91-1.95
Fe  0.5000  0.0000  0.5000 [1 per cell]  6 O 1.96-2.00
O  0.0279  0.7614  0.2901 [2 per cell]  1 Li 1.93, 1 Ti 1.96, 2 Fe 1.96
O  0.0286  0.7658  0.7427 [2 per cell]  2 Fe 1.95-1.98, 1 Li 1.97, 1 Ti 1.98
O  0.4745  0.2099  0.7405 [2 per cell]  3 Fe 1.95-1.97, 1 Li 2.00
O  0.4801  0.7673  0.7482 [2 per cell]  2 Fe 1.91-2.00, 1 Li 1.99, 1 Ti 1.99



Energies relative to the most stable structure, in meV per atom: #P 0; #Q 149.



#P
Entry from Alexandria via LeMat-Bulk: a geometry-optimized Li3TiFe3O8 structure (PBE+U).

Output
Total magnetization   30.00 μB per cell

Cell: 5.6138 6.6255 10.2666 Å, 90.04 90.05 90.07°
Closest atoms and distances in Å follow each position.
Space group P1 (No. 1)
Unique sites:
Li  0.0000  0.0000  0.0000 [1 per cell]  4 O 2.01-2.13
Li  0.0017  0.0053  0.4981 [1 per cell]  4 O 1.94-2.09
Li  0.3297  0.5123  0.2466 [1 per cell]  4 O 1.94-2.14
Li  0.4882  0.2573  0.9980 [1 per cell]  4 O 1.94-2.10
Li  0.4913  0.2613  0.5003 [1 per cell]  4 O 2.01-2.13
Li  0.8220  0.7546  0.7459 [1 per cell]  4 O 1.98-2.16
Ti  0.8302  0.2570  0.7518 [1 per cell]  4 O 1.81-1.86
Ti  0.8326  0.2590  0.2514 [1 per cell]  4 O 1.81-1.86
Fe  0.0004  0.5147  0.0005 [1 per cell]  4 O 1.87-1.96
Fe  0.0046  0.5168  0.5005 [1 per cell]  4 O 1.87-1.96
Fe  0.3307  0.0057  0.2523 [1 per cell]  4 O 1.85-1.95
Fe  0.3338  0.0035  0.7525 [1 per cell]  4 O 1.86-1.93
Fe  0.4989  0.7535  0.0019 [1 per cell]  4 O 1.90-1.93
Fe  0.5010  0.7568  0.5017 [1 per cell]  4 O 1.90-1.94
O  0.0056  0.0327  0.7001 [1 per cell]  1 Ti 1.86, 1 Fe 1.93, 1 Li 2.08
O  0.0117  0.0490  0.1936 [1 per cell]  1 Ti 1.82, 1 Fe 1.91, 1 Li 2.01
O  0.3271  0.5122  0.9664 [1 per cell]  2 Fe 1.87-1.90, 1 Li 1.94
O  0.3280  0.5189  0.4456 [1 per cell]  2 Fe 1.90-1.94, 2 Li 2.02-2.04
O  0.3442  0.9950  0.9386 [1 per cell]  2 Fe 1.91-1.93, 2 Li 2.01-2.03
O  0.3442  0.9984  0.4384 [1 per cell]  2 Fe 1.91-1.94, 2 Li 2.02-2.03
O  0.4549  0.7681  0.1853 [1 per cell]  2 Fe 1.85-1.90, 1 Li 1.94
O  0.4879  0.7778  0.6861 [1 per cell]  2 Fe 1.86-1.90, 1 Li 1.98
O  0.5164  0.2407  0.1993 [1 per cell]  1 Ti 1.86, 1 Fe 1.95, 1 Li 2.08
O  0.5276  0.2229  0.6936 [1 per cell]  1 Ti 1.81, 1 Fe 1.91, 1 Li 2.01
O  0.8270  0.7466  0.9455 [1 per cell]  2 Fe 1.91-1.93, 2 Li 2.02-2.05
O  0.8334  0.7530  0.4677 [1 per cell]  2 Fe 1.87-1.90, 1 Li 1.94
O  0.8413  0.2724  0.9326 [1 per cell]  1 Ti 1.86, 1 Fe 1.96
O  0.8499  0.2739  0.4321 [1 per cell]  1 Ti 1.86, 1 Fe 1.96
O  0.9535  0.4866  0.6845 [1 per cell]  1 Ti 1.81, 1 Fe 1.92, 1 Li 2.02
O  0.9804  0.4789  0.1858 [1 per cell]  1 Ti 1.81, 1 Fe 1.92



#Q
Entry from Alexandria via LeMat-Bulk: a geometry-optimized Li3TiFe3O8 structure (PBE+U).

Output
Total magnetization   29.99 μB per cell

Cell: 5.9109 5.9109 9.6104 Å, 90.00 90.00 120.00°
Closest atoms and distances in Å follow each position.
Space group P6_3mc (No. 186)
Unique sites:
Li  0.1762  0.3524  0.0000 [6 per cell]  4 O 1.99-2.19
Ti  0.3333  0.6667  0.4449 [2 per cell]  6 O 1.92-2.11
Fe  0.1694  0.3387  0.7268 [6 per cell]  6 O 2.01-2.10
O  0.0000  0.0000  0.1202 [2 per cell]  3 Fe 2.01, 3 Li 2.14
O  0.0358  0.5179  0.5962 [6 per cell]  2 Li 1.99, 2 Fe 2.04, 1 Ti 2.11
O  0.1672  0.3345  0.3516 [6 per cell]  1 Ti 1.92, 2 Fe 2.10
O  0.3333  0.6667  0.8457 [2 per cell]  3 Fe 2.03, 3 Li 2.19



Energies relative to the most stable structure, in meV per atom: #P 38; #Q 0.